(1)
# PBE CrRh3Au, optimized geometry
# ΔE_f = 829.4 meV/atom
# Crystal system = cubic
data_CrRh3Au
_chemical_formula_sum 'Cr1 Rh3 Au1'
_symmetry_space_group_name_H-M 'P m -3 m'
_symmetry_Int_Tables_number 221
_symmetry_space_group_name_Hall '-P 4 2 3'
_cell_length_a 4.4386
_cell_length_b 4.4386
_cell_length_c 4.4386
_cell_angle_alpha 90.00
_cell_angle_beta 90.00
_cell_angle_gamma 90.00
loop_
_atom_site_label
_atom_site_fract_x
_atom_site_fract_y
_atom_site_fract_z
Cr1 0.0000 0.0000 0.0000
Rh1 0.0000 0.0000 0.5000
Au1 0.5000 0.5000 0.5000

***

(2)
# PBE YB2Cl, optimized geometry
# Excess energy over the best structure of this formula in the dataset = 0.000 eV/f.u.
# ΔE_f (raw) = 4.23 eV per formula unit
# Crystal system = tetragonal
data_YB2Cl
_chemical_formula_sum 'Y4 B8 Cl4'
_symmetry_space_group_name_H-M 'I -4 2 d'
_symmetry_Int_Tables_number 122
_symmetry_space_group_name_Hall 'I -4 2bw'
_cell_length_a 6.1085
_cell_length_b 6.1085
_cell_length_c 6.7816
_cell_angle_alpha 90.00
_cell_angle_beta 90.00
_cell_angle_gamma 90.00
loop_
_atom_site_label
_atom_site_fract_x
_atom_site_fract_y
_atom_site_fract_z
Y1 0.0000 0.0000 0.0000
B1 0.1720 0.2500 0.6250
Cl1 0.0000 0.0000 0.5000

***

(3)
# PBE TmTaAs2, optimized geometry
# Excess energy over the best structure of this formula in the dataset = 0.000 eV/f.u.
# ΔE_f = -885.2 meV/atom
# Crystal system = trigonal
data_TmTaAs2
_chemical_formula_sum 'Tm3 Ta3 As6'
_symmetry_space_group_name_H-M 'R 3 m'
_symmetry_Int_Tables_number 160
_symmetry_space_group_name_Hall 'R 3 -2"'
_cell_length_a 3.7520
_cell_length_b 3.7520
_cell_length_c 20.1436
_cell_angle_alpha 90.00
_cell_angle_beta 90.00
_cell_angle_gamma 120.00
loop_
_atom_site_label
_atom_site_fract_x
_atom_site_fract_y
_atom_site_fract_z
Tm1 0.0000 0.0000 0.0000
Ta1 0.0000 0.0000 0.8263
As1 0.0000 0.0000 0.4188
As2 0.0000 0.0000 0.5722

***

(4)
# PBE ReSn3O, optimized geometry
# Excess energy over the best structure of this formula in the dataset = 0.000 eV/f.u.
# ΔE_f (raw) = 2.08 eV per formula unit
# Crystal system = cubic
data_ReSn3O
_chemical_formula_sum 'Re1 Sn3 O1'
_symmetry_space_group_name_H-M 'P m -3 m'
_symmetry_Int_Tables_number 221
_symmetry_space_group_name_Hall '-P 4 2 3'
_cell_length_a 4.6095
_cell_length_b 4.6095
_cell_length_c 4.6095
_cell_angle_alpha 90.00
_cell_angle_beta 90.00
_cell_angle_gamma 90.00
loop_
_atom_site_label
_atom_site_fract_x
_atom_site_fract_y
_atom_site_fract_z
Re1 0.0000 0.0000 0.0000
Sn1 0.0000 0.5000 0.5000
O1 0.5000 0.5000 0.5000

***

(5)
# PBE BaTiB3, optimized geometry
# Excess energy over the best structure of this formula in the dataset = 0.000 eV/f.u.
# ΔE_f = 856.1 meV/atom
# Crystal system = cubic
data_BaTiB3
_chemical_formula_sum 'Ba1 Ti1 B3'
_symmetry_space_group_name_H-M 'P m -3 m'
_symmetry_Int_Tables_number 221
_symmetry_space_group_name_Hall '-P 4 2 3'
_cell_length_a 4.4647
_cell_length_b 4.4647
_cell_length_c 4.4647
_cell_angle_alpha 90.00
_cell_angle_beta 90.00
_cell_angle_gamma 90.00
loop_
_atom_site_label
_atom_site_fract_x
_atom_site_fract_y
_atom_site_fract_z
Ba1 0.0000 0.0000 0.0000
Ti1 0.5000 0.5000 0.5000
B1 0.0000 0.5000 0.5000

***

(6)
# PBE Sm2ScS3, optimized geometry
# Excess energy over the best structure of this formula in the dataset = 1.191 eV/f.u.
# ΔE_f (raw) = -10.53 eV per formula unit
# Crystal system = orthorhombic
data_Sm2ScS3
_chemical_formula_sum 'Sm4 Sc2 S6'
_symmetry_space_group_name_H-M 'I m m m'
_symmetry_Int_Tables_number 71
_symmetry_space_group_name_Hall '-I 2 2'
_cell_length_a 3.7455
_cell_length_b 4.7195
_cell_length_c 15.1125
_cell_angle_alpha 90.00
_cell_angle_beta 90.00
_cell_angle_gamma 90.00
loop_
_atom_site_label
_atom_site_fract_x
_atom_site_fract_y
_atom_site_fract_z
Sm1 0.0000 0.0000 0.1447
Sc1 0.0000 0.0000 0.5000
S1 0.0000 0.0000 0.3302
S2 0.0000 0.5000 0.5000

***

(7)
# PBE MgTcIr, optimized geometry
# Excess energy over the best structure of this formula in the dataset = 6.324 eV/f.u.
# ΔE_f = 1912.2 meV/atom
# Crystal system = hexagonal
data_MgTcIr
_chemical_formula_sum 'Mg2 Tc2 Ir2'
_symmetry_space_group_name_H-M 'P 63/m m c'
_symmetry_Int_Tables_number 194
_symmetry_space_group_name_Hall '-P 6c 2c'
_cell_length_a 4.6834
_cell_length_b 4.6834
_cell_length_c 9.1298
_cell_angle_alpha 90.00
_cell_angle_beta 90.00
_cell_angle_gamma 120.00
loop_
_atom_site_label
_atom_site_fract_x
_atom_site_fract_y
_atom_site_fract_z
Mg1 0.3333 0.6667 0.2500
Tc1 0.0000 0.0000 0.2500
Ir1 0.0000 0.0000 0.0000

***

(8)
# PBE Li2HfTl3, optimized geometry
# ΔE_f = -85.0 meV/atom
# Crystal system = tetragonal
data_Li2HfTl3
_chemical_formula_sum 'Li2 Hf1 Tl3'
_symmetry_space_group_name_H-M 'P 4/m m m'
_symmetry_Int_Tables_number 123
_symmetry_space_group_name_Hall '-P 4 2'
_cell_length_a 3.4107
_cell_length_b 3.4107
_cell_length_c 10.9275
_cell_angle_alpha 90.00
_cell_angle_beta 90.00
_cell_angle_gamma 90.00
loop_
_atom_site_label
_atom_site_fract_x
_atom_site_fract_y
_atom_site_fract_z
Li1 0.0000 0.0000 0.1633
Hf1 0.0000 0.0000 0.5000
Tl1 0.5000 0.5000 0.0000
Tl2 0.5000 0.5000 0.3177

***

N(E_F) values (in states/eV/atom) by entry order: 0.723; 0.293; 0.060; 0.739; 1.009; 0.568; 1.325; 0.318.